Crystalline KCoBr2 at its relaxed geometry, computed with GGA-PBE.

abc: 4.3060 4.9613 6.6019
angles: 82.79 90.00 90.00
Last column: nearest neighbours and their distance in Å.
Atoms (fractional coordinates):
Br: 0.0000 0.1228 0.8348  1 Co 2.43
Br: 0.5000 0.4548 0.3524  2 Co 2.39
Co: 0.0000 0.2986 0.4743  3 Br 2.39-2.43
K: 0.5000 0.6238 0.8386  6 Br 3.28-3.42

For the total magnetization, the calculation gives 0.500 μB/atom. The value obtained for the total energy is -3.50 eV per atom. As for the density: 3.06 Mg/m³. The value obtained for the polymorph energy (0 for the lowest one) is 33 meV/atom. As for the uncorrected formation energy: -0.615 eV per atom.